A plane-wave DFT calculation with PBE was carried out for a geometry-optimized LaCrAg structure.

```
LaCrAg
1.0
-0.257 4.166 2.410
-3.005 0.437 3.743
1.757 0.306 4.477
La Cr Ag
1 1 1
Cartesian
0.000 0.000 0.000
-1.129 3.682 7.972
-0.753 2.455 5.315
```

Output
Calculated volume   79.2 Å³ per cell
Symmetry   F-43m
Crystal system   cubic
Formation energy from the elements   0.479 eV/atom
Distance to the lowest polymorph of the same formula   23.83 kJ/mol of atoms

---

A plane-wave DFT calculation with PBE was carried out for a geometry-optimized LaCrAg structure.

```
LaCrAg
1.0
6.950 0.000 0.000
0.000 6.950 0.000
0.000 0.000 6.950
Ag Cr La
4 4 4
Cartesian
5.213 1.738 1.738
1.738 1.738 5.213
1.738 5.213 1.738
5.213 5.213 5.213
3.475 3.475 0.000
0.000 3.475 3.475
0.000 0.000 0.000
3.475 0.000 3.475
0.000 3.475 0.000
3.475 3.475 3.475
3.475 0.000 0.000
0.000 0.000 3.475
```

Output
Calculated volume   335.8 Å³ per cell
Symmetry   F-43m
Crystal system   cubic
Formation energy from the elements   0.445 eV/atom
Distance to the lowest polymorph of the same formula   20.52 kJ/mol of atoms

---

A plane-wave DFT calculation with PBE was carried out for a geometry-optimized La2CrAg structure.

```
La2CrAg
1.0
-2.522 -1.292 -5.668
1.183 -0.671 -6.189
0.611 -4.872 -1.463
Cr Ag La
1 1 2
Cartesian
-0.125 -1.790 -3.022
-0.430 -3.323 -7.015
-0.575 -5.080 -10.141
-1.301 -2.023 -11.658
```

Output
Calculated volume   106.6 Å³ per cell
Symmetry   Cm
Crystal system   monoclinic
Formation energy from the elements   0.169 eV/atom
Distance to the lowest polymorph of the same formula   6.19 kJ/mol of atoms

---

A plane-wave DFT calculation with PBE was carried out for a geometry-optimized La2CrAgN structure.

```
La2CrAgN
1.0
5.363 0.000 0.000
0.000 5.363 0.000
0.000 0.000 3.798
Cr La N Ag
1 2 1 1
Cartesian
0.000 0.000 1.899
2.682 0.000 0.000
0.000 2.682 0.000
0.000 0.000 0.000
2.682 2.682 1.899
```

Output
Calculated volume   109.2 Å³ per cell
Symmetry   P4/mmm
Crystal system   tetragonal
Energy relative to the elements, uncorrected   -0.54 eV per atom

---

Q: Which of these has the lowest calculated volume?
A: number 1